Material: Pm4Al
Method: DFT, PBE-GGA
State: optimized geometry

Cell: 7.656 7.656 7.656 Å, 105.45 105.45 117.86°
Sites, in units of the cell vectors:
Pm  0.160  0.972  0.812
Pm  0.098  0.410  0.688
Pm  0.590  0.278  0.688
Pm  0.160  0.348  0.188
Pm  0.652  0.840  0.812
Pm  0.028  0.840  0.188
Pm  0.722  0.410  0.312
Pm  0.590  0.902  0.312
Al  0.500  0.500  0.000
Al  0.250  0.750  0.500

Summary:
Calculated total energy, eV per atom: -4.48
ΔH_f (0 K), eV per atom: 0.07